Entry 1:
DFT (PBE-GGA) results for a relaxed structure of Fe2WI8.

The value obtained for the uncorrected formation energy is -34 meV per atom. As for the total magnetization: 10.180 μB per formula unit. The total energy comes out at -3.878 eV per atom.

The space group is C2/m (No. 12) and the conventional cell measures 13.753, 10.297 and 6.632 Å, with angles of 90.00, 91.43 and 90.00 degrees. The distinct sites, in fractional coordinates, are Fe at (0.168, 0.000, 0.365), W at (0.000, 0.000, 0.000), I at (0.080, 0.203, 0.229), I at (0.153, 0.500, 0.701) and I at (0.168, 0.000, 0.763).


Entry 2:
DFT (PBE-GGA) results for a relaxed structure of FeW2I.

The value obtained for the uncorrected formation energy is 1229 meV per atom. As for the total magnetization: 0.001 μB per formula unit. The total energy comes out at -7.751 eV per atom. Its offset from the most stable computed form is 0.000 eV per atom.

The space group is Fm-3m (No. 225) and the conventional cell measures 6.346, 6.346 and 6.346 Å, with angles of 90.00, 90.00 and 90.00 degrees. The distinct sites, in fractional coordinates, are Fe at (0.000, 0.000, 0.000), W at (0.250, 0.250, 0.250) and I at (0.000, 0.000, 0.500).


Entry 3:
DFT (PBE-GGA) results for a relaxed structure of FeW3I.

The value obtained for the uncorrected formation energy is 1727 meV per atom. As for the total magnetization: 0.000 μB per formula unit. The total energy comes out at -8.047 eV per atom. Its offset from the most stable computed form is 0.000 eV per atom.

The space group is Pm-3m (No. 221) and the conventional cell measures 4.572, 4.572 and 4.572 Å, with angles of 90.00, 90.00 and 90.00 degrees. The distinct sites, in fractional coordinates, are Fe at (0.000, 0.000, 0.000), W at (0.000, 0.000, 0.500) and I at (0.500, 0.500, 0.500).


Entry 4:
DFT (PBE-GGA) results for a relaxed structure of Fe3WI.

The value obtained for the uncorrected formation energy is 1614 meV per atom. As for the total magnetization: 5.737 μB per formula unit. The total energy comes out at -6.364 eV per atom. Its offset from the most stable computed form is 0.000 eV per atom.

The space group is Pm-3m (No. 221) and the conventional cell measures 4.662, 4.662 and 4.662 Å, with angles of 90.00, 90.00 and 90.00 degrees. The distinct sites, in fractional coordinates, are Fe at (0.000, 0.000, 0.500), W at (0.000, 0.000, 0.000) and I at (0.500, 0.500, 0.500).


Entry 5:
DFT (PBE-GGA) results for a relaxed structure of FeW2I.

The value obtained for the uncorrected formation energy is 1585 meV per atom. As for the total magnetization: 0.000 μB per formula unit. The total energy comes out at -7.395 eV per atom. Its offset from the most stable computed form is 0.357 eV per atom.

The space group is I-42d (No. 122) and the conventional cell measures 5.438, 5.438 and 12.347 Å, with angles of 90.00, 90.00 and 90.00 degrees. The distinct sites, in fractional coordinates, are Fe at (0.000, 0.000, 0.000), W at (0.171, 0.250, 0.125) and I at (0.000, 0.000, 0.500).


Entry 6:
DFT (PBE-GGA) results for a relaxed structure of FeWI3.

The value obtained for the uncorrected formation energy is 1720 meV per atom. As for the total magnetization: 0.000 μB per formula unit. The total energy comes out at -3.493 eV per atom. Its offset from the most stable computed form is 0.458 eV per atom.

The space group is Pm-3m (No. 221) and the conventional cell measures 5.016, 5.016 and 5.016 Å, with angles of 90.00, 90.00 and 90.00 degrees. The distinct sites, in fractional coordinates, are Fe at (0.000, 0.000, 0.000), W at (0.500, 0.500, 0.500) and I at (0.000, 0.000, 0.500).


Entry 7:
DFT (PBE-GGA) results for a relaxed structure of ZrFeWI2.

The value obtained for the uncorrected formation energy is 1247 meV per atom. As for the total magnetization: 0.589 μB per formula unit. The total energy comes out at -5.365 eV per atom.

The space group is P4/mmm (No. 123) and the conventional cell measures 4.991, 4.991 and 4.563 Å, with angles of 90.00, 90.00 and 90.00 degrees. The distinct sites, in fractional coordinates, are Zr at (0.000, 0.000, 0.000), Fe at (0.500, 0.500, 0.500), W at (0.500, 0.500, 0.000) and I at (0.000, 0.500, 0.500).


Entry 8:
DFT (PBE-GGA) results for a relaxed structure of YFe3I.

The value obtained for the uncorrected formation energy is 1001 meV per atom. As for the total magnetization: 4.637 μB per formula unit. The total energy comes out at -5.680 eV per atom. Its offset from the most stable computed form is 0.000 eV per atom.

The space group is Pm-3m (No. 221) and the conventional cell measures 4.660, 4.660 and 4.660 Å, with angles of 90.00, 90.00 and 90.00 degrees. The distinct sites, in fractional coordinates, are Y at (0.000, 0.000, 0.000), Fe at (0.000, 0.500, 0.500) and I at (0.500, 0.500, 0.500).


Entry 9:
DFT (PBE-GGA) results for a relaxed structure of Y5Fe2I2.

The value obtained for the uncorrected formation energy is -358 meV per atom. As for the total magnetization: 1.110 μB per formula unit. The total energy comes out at -6.174 eV per atom.

The space group is Cmce (No. 64) and the conventional cell measures 16.851, 7.654 and 7.652 Å, with angles of 90.00, 90.00 and 90.00 degrees. The distinct sites, in fractional coordinates, are Y at (0.000, 0.000, 0.000), Y at (0.108, 0.164, 0.336), Fe at (0.000, 0.117, 0.616) and I at (0.217, 0.000, 0.000).


Entry 10:
DFT (PBE-GGA) results for a relaxed structure of YFeI3.

The value obtained for the uncorrected formation energy is 113 meV per atom. As for the total magnetization: 0.001 μB per formula unit. The total energy comes out at -3.802 eV per atom. Its offset from the most stable computed form is 0.182 eV per atom.

The space group is Pm-3m (No. 221) and the conventional cell measures 5.199, 5.199 and 5.199 Å, with angles of 90.00, 90.00 and 90.00 degrees. The distinct sites, in fractional coordinates, are Y at (0.000, 0.000, 0.000), Fe at (0.500, 0.500, 0.500) and I at (0.000, 0.500, 0.500).


Entry 11:
DFT (PBE-GGA) results for a relaxed structure of YFe3I.

The value obtained for the uncorrected formation energy is 1739 meV per atom. As for the total magnetization: 7.041 μB per formula unit. The total energy comes out at -4.941 eV per atom. Its offset from the most stable computed form is 0.738 eV per atom.

The space group is Pm-3m (No. 221) and the conventional cell measures 4.952, 4.952 and 4.952 Å, with angles of 90.00, 90.00 and 90.00 degrees. The distinct sites, in fractional coordinates, are Y at (0.000, 0.000, 0.000), Fe at (0.000, 0.000, 0.500) and I at (0.500, 0.500, 0.500).


Entry 12:
DFT (PBE-GGA) results for a relaxed structure of YFeI3.

The value obtained for the uncorrected formation energy is -69 meV per atom. As for the total magnetization: 4.109 μB per formula unit. The total energy comes out at -3.984 eV per atom. Its offset from the most stable computed form is 0.000 eV per atom.

The space group is Pm-3m (No. 221) and the conventional cell measures 6.019, 6.019 and 6.019 Å, with angles of 90.00, 90.00 and 90.00 degrees. The distinct sites, in fractional coordinates, are Y at (0.000, 0.000, 0.000), Fe at (0.500, 0.500, 0.500) and I at (0.000, 0.000, 0.500).


Entry 13:
DFT (PBE-GGA) results for a relaxed structure of YZnFeI2.

The value obtained for the uncorrected formation energy is 240 meV per atom. As for the total magnetization: 3.000 μB per formula unit. The total energy comes out at -3.620 eV per atom.

The space group is P4/mmm (No. 123) and the conventional cell measures 6.025, 6.025 and 5.559 Å, with angles of 90.00, 90.00 and 90.00 degrees. The distinct sites, in fractional coordinates, are Y at (0.000, 0.000, 0.000), Zn at (0.500, 0.500, 0.500), Fe at (0.000, 0.000, 0.500) and I at (0.000, 0.500, 0.000).


Entry 14:
DFT (PBE-GGA) results for a relaxed structure of ZnFe2I.

The value obtained for the uncorrected formation energy is 742 meV per atom. As for the total magnetization: 5.350 μB per formula unit. The total energy comes out at -4.196 eV per atom. Its offset from the most stable computed form is 0.000 eV per atom.

The space group is I-42d (No. 122) and the conventional cell measures 4.123, 4.123 and 17.718 Å, with angles of 90.00, 90.00 and 90.00 degrees. The distinct sites, in fractional coordinates, are Zn at (0.000, 0.000, 0.000), Fe at (0.179, 0.250, 0.125) and I at (0.000, 0.000, 0.500).


Entry 15:
DFT (PBE-GGA) results for a relaxed structure of ZnFe2I8.

The value obtained for the uncorrected formation energy is -224 meV per atom. As for the total magnetization: 9.990 μB per formula unit. The total energy comes out at -3.006 eV per atom.

The space group is C2/m (No. 12) and the conventional cell measures 13.658, 10.703 and 6.862 Å, with angles of 90.00, 91.07 and 90.00 degrees. The distinct sites, in fractional coordinates, are Zn at (0.000, 0.000, 0.000), Fe at (0.185, 0.000, 0.622), I at (0.091, 0.188, 0.767), I at (0.138, 0.500, 0.281) and I at (0.179, 0.000, 0.248).


Entry 16:
DFT (PBE-GGA) results for a relaxed structure of ZnFe2I6.

The value obtained for the uncorrected formation energy is -255 meV per atom. As for the total magnetization: 8.000 μB per formula unit. The total energy comes out at -3.310 eV per atom.

The space group is C2/c (No. 15) and the conventional cell measures 14.866, 16.075 and 6.963 Å, with angles of 90.00, 106.25 and 90.00 degrees. The distinct sites, in fractional coordinates, are Zn at (0.000, 0.000, 0.250), Fe at (0.055, 0.422, 0.424), I at (0.101, 0.087, 0.060), I at (0.118, 0.288, 0.583) and I at (0.128, 0.437, 0.114).


Entry 17:
DFT (PBE-GGA) results for a relaxed structure of ZnFe3I.

The value obtained for the uncorrected formation energy is 1178 meV per atom. As for the total magnetization: 8.107 μB per formula unit. The total energy comes out at -4.465 eV per atom. Its offset from the most stable computed form is 0.000 eV per atom.

The space group is Pm-3m (No. 221) and the conventional cell measures 4.562, 4.562 and 4.562 Å, with angles of 90.00, 90.00 and 90.00 degrees. The distinct sites, in fractional coordinates, are Zn at (0.000, 0.000, 0.000), Fe at (0.000, 0.000, 0.500) and I at (0.500, 0.500, 0.500).


Entry 18:
DFT (PBE-GGA) results for a relaxed structure of ZnFe2I.

The value obtained for the uncorrected formation energy is 778 meV per atom. As for the total magnetization: 4.457 μB per formula unit. The total energy comes out at -4.159 eV per atom. Its offset from the most stable computed form is 0.037 eV per atom.

The space group is Fm-3m (No. 225) and the conventional cell measures 6.327, 6.327 and 6.327 Å, with angles of 90.00, 90.00 and 90.00 degrees. The distinct sites, in fractional coordinates, are Zn at (0.000, 0.000, 0.000), Fe at (0.250, 0.250, 0.250) and I at (0.000, 0.000, 0.500).


Entry 19:
DFT (PBE-GGA) results for a relaxed structure of Zn2FeI.

The value obtained for the uncorrected formation energy is 553 meV per atom. As for the total magnetization: 3.015 μB per formula unit. The total energy comes out at -2.587 eV per atom. Its offset from the most stable computed form is 0.000 eV per atom.

The space group is I-42d (No. 122) and the conventional cell measures 8.155, 8.155 and 5.299 Å, with angles of 90.00, 90.00 and 90.00 degrees. The distinct sites, in fractional coordinates, are Zn at (0.187, 0.750, 0.125), Fe at (0.000, 0.000, 0.000) and I at (0.000, 0.000, 0.500).


Entry 20:
DFT (PBE-GGA) results for a relaxed structure of ZnFeI2.

The value obtained for the uncorrected formation energy is 235 meV per atom. As for the total magnetization: 4.000 μB per formula unit. The total energy comes out at -2.974 eV per atom. Its offset from the most stable computed form is 0.000 eV per atom.

The space group is I-42d (No. 122) and the conventional cell measures 7.901, 7.901 and 10.329 Å, with angles of 90.00, 90.00 and 90.00 degrees. The distinct sites, in fractional coordinates, are Zn at (0.000, 0.000, 0.000), Fe at (0.000, 0.000, 0.500) and I at (0.148, 0.250, 0.625).


Entry 21:
DFT (PBE-GGA) results for a relaxed structure of ZnFe3I.

The value obtained for the uncorrected formation energy is 1459 meV per atom. As for the total magnetization: 6.749 μB per formula unit. The total energy comes out at -4.183 eV per atom. Its offset from the most stable computed form is 0.281 eV per atom.

The space group is Pm-3m (No. 221) and the conventional cell measures 4.684, 4.684 and 4.684 Å, with angles of 90.00, 90.00 and 90.00 degrees. The distinct sites, in fractional coordinates, are Zn at (0.000, 0.000, 0.000), Fe at (0.000, 0.500, 0.500) and I at (0.500, 0.500, 0.500).


Entry 22:
DFT (PBE-GGA) results for a relaxed structure of Zn2FeI8.

The value obtained for the uncorrected formation energy is -281 meV per atom. As for the total magnetization: 3.988 μB per formula unit. The total energy comes out at -2.409 eV per atom.

The space group is C2/m (No. 12) and the conventional cell measures 11.576, 12.508 and 6.754 Å, with angles of 90.00, 96.29 and 90.00 degrees. The distinct sites, in fractional coordinates, are Zn at (0.210, 0.000, 0.440), Fe at (0.000, 0.000, 0.000), I at (0.083, 0.500, 0.698), I at (0.092, 0.159, 0.257) and I at (0.223, 0.000, 0.828).


Entry 23:
DFT (PBE-GGA) results for a relaxed structure of ZnFeI3.

The value obtained for the uncorrected formation energy is 522 meV per atom. As for the total magnetization: 3.979 μB per formula unit. The total energy comes out at -2.356 eV per atom. Its offset from the most stable computed form is 0.087 eV per atom.

The space group is Pm-3m (No. 221) and the conventional cell measures 5.575, 5.575 and 5.575 Å, with angles of 90.00, 90.00 and 90.00 degrees. The distinct sites, in fractional coordinates, are Zn at (0.000, 0.000, 0.000), Fe at (0.500, 0.500, 0.500) and I at (0.000, 0.000, 0.500).


Entry 24:
DFT (PBE-GGA) results for a relaxed structure of Zn3FeI9.

The value obtained for the uncorrected formation energy is -326 meV per atom. As for the total magnetization: 4.980 μB per formula unit. The total energy comes out at -2.344 eV per atom.

The space group is P2_1/m (No. 11) and the conventional cell measures 8.015, 11.791 and 12.736 Å, with angles of 90.00, 103.94 and 90.00 degrees. The distinct sites, in fractional coordinates, are Zn at (0.000, 0.000, 0.000), Zn at (0.448, 0.022, 0.787), Fe at (0.454, 0.250, 0.640), I at (0.010, 0.250, 0.936), I at (0.245, 0.052, 0.198), I at (0.250, 0.579, 0.887), I at (0.259, 0.750, 0.401), I at (0.285, 0.065, 0.577) and I at (0.489, 0.250, 0.851).